No. 1
An optimized crystal structure of Dy2ZnGaPt4. Source: OQMD, functional PBE.

It has space group P4/mmm (No. 123), with a = 4.6954 Å, b = 4.6954 Å, c = 6.6328 Å, α = 90.00°, β = 90.00° and γ = 90.00°. The inequivalent atoms are Dy at (0.0000, 0.0000, 0.0000), Dy at (0.5000, 0.5000, 0.5000), Zn at (0.0000, 0.0000, 0.5000), Ga at (0.5000, 0.5000, 0.0000) and Pt at (0.0000, 0.5000, 0.2475).

As for the final energy: -0.20527 Ha/atom.

=====

No. 2
An optimized crystal structure of NiBrCl. Source: OQMD, functional PBE.

It has space group P3m1 (No. 156), with a = 3.5874 Å, b = 3.5874 Å, c = 5.8315 Å, α = 90.00°, β = 90.00° and γ = 120.00°. The inequivalent atoms are Ni at (0.0000, 0.0000, 0.0000), Br at (0.6667, 0.3333, 0.7557) and Cl at (0.3333, 0.6667, 0.2170).

As for the final energy: -0.12797 Ha/atom. As for the energy above the most stable polymorph in this dataset: 14 meV per atom.

=====

No. 3
An optimized crystal structure of HoEr2In3Ni3. Source: OQMD, functional PBE.

It has space group Amm2 (No. 38), with a = 3.7792 Å, b = 12.8186 Å, c = 7.4014 Å, α = 90.00°, β = 90.00° and γ = 90.00°. The inequivalent atoms are Ho at (0.0000, 0.0000, 0.0000), Er at (0.0000, 0.2051, 0.6154), In at (0.5000, 0.0000, 0.6651), In at (0.5000, 0.1277, 0.2829), Ni at (0.0000, 0.0000, 0.4106) and Ni at (0.5000, 0.1669, 0.9102).

As for the final energy: -0.17664 Ha/atom.

=====

No. 4
An optimized crystal structure of ErTmFe8B2. Source: OQMD, functional PBE.

It has space group P6/mmm (No. 191), with a = 5.0293 Å, b = 5.0293 Å, c = 7.0125 Å, α = 90.00°, β = 90.00° and γ = 120.00°. The inequivalent atoms are Er at (0.0000, 0.0000, 0.0000), Tm at (0.0000, 0.0000, 0.5000), Fe at (0.0000, 0.5000, 0.2141), Fe at (0.3333, 0.6667, 0.5000) and B at (0.3333, 0.6667, 0.0000).

As for the final energy: -0.28147 Ha/atom.

=====

No. 5
An optimized crystal structure of MoN. Source: OQMD, functional PBE.

It has space group F-43m (No. 216), with a = 4.6467 Å, b = 4.6467 Å, c = 4.6467 Å, α = 90.00°, β = 90.00° and γ = 90.00°. The inequivalent atoms are Mo at (0.0000, 0.0000, 0.0000) and N at (0.2500, 0.2500, 0.7500).

As for the final energy: -0.35392 Ha/atom.

=====

No. 6
An optimized crystal structure of AlMo3. Source: OQMD, functional PBE.

It has space group Pm-3m (No. 221), with a = 3.9707 Å, b = 3.9707 Å, c = 3.9707 Å, α = 90.00°, β = 90.00° and γ = 90.00°. The inequivalent atoms are Al at (0.0000, 0.0000, 0.0000) and Mo at (0.0000, 0.5000, 0.5000).

As for the final energy: -0.33114 Ha/atom. As for the energy above the most stable polymorph in this dataset: 64 meV per atom.

=====

No. 7
An optimized crystal structure of CsNiTe3Ir. Source: OQMD, functional PBE.

It has space group Cmcm (No. 63), with a = 4.0441 Å, b = 17.3249 Å, c = 10.4277 Å, α = 90.00°, β = 90.00° and γ = 90.00°. The inequivalent atoms are Cs at (0.0000, 0.2448, 0.2500), Ni at (0.0000, 0.4762, 0.7500), Te at (0.0000, 0.0622, 0.7500), Te at (0.0000, 0.4012, 0.5474) and Ir at (0.0000, 0.0000, 0.0000).

As for the final energy: -0.16311 Ha/atom.

=====

No. 8
An optimized crystal structure of LiFePdPb. Source: OQMD, functional PBE.

It has space group F-43m (No. 216), with a = 6.3587 Å, b = 6.3587 Å, c = 6.3587 Å, α = 90.00°, β = 90.00° and γ = 90.00°. The inequivalent atoms are Li at (0.0000, 0.0000, 0.0000), Fe at (0.0000, 0.0000, 0.5000), Pd at (0.2500, 0.2500, 0.7500) and Pb at (0.2500, 0.2500, 0.2500).

As for the final energy: -0.17697 Ha/atom. As for the energy above the most stable polymorph in this dataset: 0 meV per atom.

=====

No. 9
An optimized crystal structure of Sm2Y2CI3Cl2. Source: OQMD, functional PBE.

It has space group C2/m (No. 12), with a = 18.5090 Å, b = 3.9513 Å, c = 8.6634 Å, α = 90.00°, β = 100.46° and γ = 90.00°. The inequivalent atoms are Sm at (0.0015, 0.0000, 0.3056), Y at (0.1326, 0.5000, 0.5628), C at (0.0000, 0.5000, 0.5000), I at (0.0000, 0.5000, 0.0000), I at (0.1753, 0.0000, 0.3172) and Cl at (0.1522, 0.0000, 0.7867).

As for the final energy: -0.19642 Ha/atom. As for the energy above the most stable polymorph in this dataset: 0 meV per atom.

=====

No. 10
An optimized crystal structure of PaBePt. Source: OQMD, functional PBE.

It has space group P6_3/mmc (No. 194), with a = 4.2495 Å, b = 4.2495 Å, c = 6.7916 Å, α = 90.00°, β = 90.00° and γ = 120.00°. The inequivalent atoms are Pa at (0.0000, 0.0000, 0.0000), Be at (0.3333, 0.6667, 0.2500) and Pt at (0.3333, 0.6667, 0.7500).

As for the final energy: -0.26114 Ha/atom. As for the energy above the most stable polymorph in this dataset: 0 meV per atom.

=====

No. 11
An optimized crystal structure of HoMoIr. Source: OQMD, functional PBE.

It has space group F-43m (No. 216), with a = 6.4137 Å, b = 6.4137 Å, c = 6.4137 Å, α = 90.00°, β = 90.00° and γ = 90.00°. The inequivalent atoms are Ho at (0.0000, 0.0000, 0.0000), Mo at (0.2500, 0.2500, 0.2500) and Ir at (0.2500, 0.2500, 0.7500).

As for the formation enthalpy at 0 K: 1.0140 eV per atom. As for the final energy: -0.26016 Ha/atom. As for the energy above the most stable polymorph in this dataset: 916 meV per atom.

=====

No. 12
An optimized crystal structure of LuTlZnTe3. Source: OQMD, functional PBE.

It has space group Pnma (No. 62), with a = 15.6209 Å, b = 4.3352 Å, c = 11.6050 Å, α = 90.00°, β = 90.00° and γ = 90.00°. The inequivalent atoms are Lu at (0.0231, 0.2500, 0.1558), Tl at (0.2350, 0.2500, 0.4577), Zn at (0.0172, 0.7500, 0.4000), Te at (0.0885, 0.7500, 0.6186), Te at (0.1012, 0.2500, 0.9203) and Te at (0.1439, 0.7500, 0.2456).

As for the final energy: -0.13677 Ha/atom. As for the energy above the most stable polymorph in this dataset: 16 meV per atom.